No. 1
# MgCdP2

MgCdP2 after structural relaxation (PBE-GGA, Alexandria).

Cell: 5.9125 5.9125 3.8994 Å, 108.76 108.76 37.08°
Closest atoms and distances in Å follow each position.
Sites, in units of the cell vectors:
Mg  0.0000  0.0000  0.0000  4 P 2.69-2.73
Cd  0.7270  0.7270  0.9795  5 P 2.70-2.86
P  0.2979  0.2979  0.5319  1 P 2.24
P  0.4907  0.4907  0.4823  1 P 2.24

Values from the calculation:
The space group is Cm (8). The value obtained for the magnetization is 0.00 μB/f.u. The value obtained for the formation energy from the elements is -116 meV/atom. For the density of states at the Fermi level, the calculation gives 0.16 states/eV per atom.

No. 2
# K2BeGeSe4

K2BeGeSe4 after structural relaxation (PBE-GGA, Alexandria).

Cell: 6.6431 6.6431 6.6431 Å, 114.60 114.60 99.64°
Closest atoms and distances in Å follow each position.
Sites, in units of the cell vectors:
K  0.0000  0.0000  0.0000  4 Se 3.26
K  0.7500  0.2500  0.5000  8 Se 3.33-3.71
Be  0.5000  0.5000  0.0000  4 Se 2.26
Ge  0.2500  0.7500  0.5000  4 Se 2.42
Se  0.2468  0.6392  0.1022  1 Be 2.26, 1 Ge 2.42
Se  0.3608  0.4629  0.6075  1 Be 2.26, 1 Ge 2.42
Se  0.5371  0.1446  0.8978  1 Be 2.26, 1 Ge 2.42
Se  0.8554  0.7532  0.3925  1 Be 2.26, 1 Ge 2.42

Values from the calculation:
The space group is I-4 (82). The value obtained for the magnetization is 0.00 μB/f.u. As for the formation energy from raw total energies: -0.83 eV per atom. For the density of states at the Fermi level, the calculation gives 0.00 states/eV per atom.

No. 3
# Sr2HfPt2

Sr2HfPt2 after structural relaxation (PBE-GGA, Alexandria).

Cell: 10.8738 10.8738 10.8738 Å, 160.34 160.34 27.95°
Closest atoms and distances in Å follow each position.
Sites, in units of the cell vectors:
Sr  0.1297  0.1297  0.0000  4 Pt 3.15
Sr  0.8703  0.8703  0.0000  4 Pt 3.15
Hf  0.5000  0.5000  0.0000  4 Hf 3.71, 8 Sr 3.79
Pt  0.2500  0.7500  0.5000  4 Pt 2.63
Pt  0.7500  0.2500  0.5000  4 Pt 2.63

Values from the calculation:
The space group is I4/mmm (139). The value obtained for the magnetization is 1.02 μB/f.u. The value obtained for the formation energy from the elements is 108 meV/atom. For the density of states at the Fermi level, the calculation gives 1.03 states/eV per atom.

No. 4
# Sr4MgGa

Sr4MgGa after structural relaxation (PBE-GGA, Alexandria).

Cell: 9.0832 9.0832 7.0980 Å, 102.11 102.11 111.99°
Closest atoms and distances in Å follow each position.
Sites, in units of the cell vectors:
Sr  0.0619  0.7214  0.9411  2 Ga 3.28
Sr  0.2066  0.3582  0.6442  2 Ga 3.37-3.42, 1 Mg 3.66
Sr  0.2786  0.9381  0.5589  2 Ga 3.28
Sr  0.3582  0.2066  0.1442  2 Ga 3.37-3.42, 1 Mg 3.66
Sr  0.6418  0.7934  0.8558  2 Ga 3.37-3.42, 1 Mg 3.66
Sr  0.7214  0.0619  0.4411  2 Ga 3.28
Sr  0.7934  0.6418  0.3558  2 Ga 3.37-3.42, 1 Mg 3.66
Sr  0.9381  0.2786  0.0589  2 Ga 3.28
Mg  0.3749  0.6251  0.2500  6 Sr 3.66-3.75
Mg  0.6251  0.3749  0.7500  6 Sr 3.66-3.75
Ga  0.0003  0.9997  0.2500  8 Sr 3.28-3.42, 2 Ga 3.55
Ga  0.9997  0.0003  0.7500  8 Sr 3.28-3.42, 2 Ga 3.55

Values from the calculation:
The space group is C2/c (15). The value obtained for the magnetization is 0.00 μB/f.u. The value obtained for the formation energy from the elements is -117 meV/atom. For the density of states at the Fermi level, the calculation gives 1.35 states/eV per atom.

No. 5
# OsW2Au

OsW2Au after structural relaxation (PBE-GGA, Alexandria).

Cell: 9.6244 9.6244 9.6244 Å, 16.78 16.78 16.78°
Closest atoms and distances in Å follow each position.
Sites, in units of the cell vectors:
Os  0.0000  0.0000  0.0000  3 W 2.68, 6 Os 2.81, 3 Au 2.96
W  0.2582  0.2582  0.2582  3 Os 2.68, 9 W 2.81-2.94
W  0.5055  0.5055  0.5055  9 W 2.81-2.94, 3 Au 2.91
Au  0.7538  0.7538  0.7538  6 Au 2.81, 3 W 2.91, 3 Os 2.96

Values from the calculation:
The space group is R3m (160). The value obtained for the magnetization is 0.00 μB/f.u. The value obtained for the formation energy from the elements is 316 meV/atom. For the density of states at the Fermi level, the calculation gives 0.26 states/eV per atom.

No. 6
# PmTm2Sc

PmTm2Sc after structural relaxation (PBE-GGA, Alexandria).

Cell: 11.3458 11.3458 11.3458 Å, 17.77 17.77 17.77°
Closest atoms and distances in Å follow each position.
Sites, in units of the cell vectors:
Pm  0.0000  0.0000  0.0000  6 Pm 3.50, 6 Tm 3.54-3.58
Tm  0.2467  0.2467  0.2467  3 Sc 3.33, 6 Tm 3.50, 3 Pm 3.54
Tm  0.4214  0.4214  0.4214  3 Sc 3.35, 6 Tm 3.50, 3 Pm 3.58
Sc  0.8345  0.8345  0.8345  6 Tm 3.33-3.35, 6 Sc 3.50

Values from the calculation:
The space group is R3m (160). The value obtained for the magnetization is 0.00 μB/f.u. The value obtained for the formation energy from the elements is 43 meV/atom. For the density of states at the Fermi level, the calculation gives 1.43 states/eV per atom.

No. 7
# LiHo2Al9

LiHo2Al9 after structural relaxation (PBE-GGA, Alexandria).

Cell: 4.1930 4.1930 12.4148 Å, 90.00 90.00 90.00°
Closest atoms and distances in Å follow each position.
Sites, in units of the cell vectors:
Li  0.0000  0.0000  0.0000  12 Al 2.81-2.96
Ho  0.0000  0.0000  0.3274  12 Al 2.97-3.03
Ho  0.0000  0.0000  0.6726  12 Al 2.97-3.03
Al  0.0000  0.5000  0.1510  2 Li 2.81, 8 Al 2.81-3.05, 2 Ho 3.03
Al  0.0000  0.5000  0.5000  8 Al 2.96-2.98, 4 Ho 3.00
Al  0.0000  0.5000  0.8490  2 Li 2.81, 8 Al 2.81-3.05, 2 Ho 3.03
Al  0.5000  0.0000  0.1510  2 Li 2.81, 8 Al 2.81-3.05, 2 Ho 3.03
Al  0.5000  0.0000  0.5000  8 Al 2.96-2.98, 4 Ho 3.00
Al  0.5000  0.0000  0.8490  2 Li 2.81, 8 Al 2.81-3.05, 2 Ho 3.03
Al  0.5000  0.5000  0.0000  8 Al 2.81, 4 Li 2.96
Al  0.5000  0.5000  0.3292  4 Ho 2.97, 8 Al 2.98-3.05
Al  0.5000  0.5000  0.6708  4 Ho 2.97, 8 Al 2.98-3.05

Values from the calculation:
The space group is P4/mmm (123). The value obtained for the magnetization is 0.00 μB/f.u. The value obtained for the formation energy from the elements is -305 meV/atom. For the density of states at the Fermi level, the calculation gives 0.19 states/eV per atom.

No. 8
# GaHgI

GaHgI after structural relaxation (PBE-GGA, Alexandria).

Cell: 9.9572 5.8605 8.0327 Å, 90.00 90.00 90.00°
Closest atoms and distances in Å follow each position.
Sites, in units of the cell vectors:
Ga  0.1528  0.2500  0.0000  2 I 2.94, 4 Hg 2.98-3.25
Ga  0.1528  0.2500  0.5000  2 I 2.94, 4 Hg 2.98-3.25
Ga  0.8472  0.7500  0.0000  2 I 2.94, 4 Hg 2.98-3.25
Ga  0.8472  0.7500  0.5000  2 I 2.94, 4 Hg 2.98-3.25
Hg  0.0909  0.6117  0.2500  4 Ga 2.98-3.25
Hg  0.0909  0.8883  0.7500  4 Ga 2.98-3.25
Hg  0.9091  0.1117  0.2500  4 Ga 2.98-3.25
Hg  0.9091  0.3883  0.7500  4 Ga 2.98-3.25
I  0.3309  0.0443  0.2500  2 Ga 2.94
I  0.3309  0.4557  0.7500  2 Ga 2.94
I  0.6691  0.5443  0.2500  2 Ga 2.94
I  0.6691  0.9557  0.7500  2 Ga 2.94

Values from the calculation:
The space group is Pbcm (57). The value obtained for the magnetization is 0.00 μB/f.u. As for the formation energy from raw total energies: -0.16 eV per atom.